No. 1
## Sc6AlRu5 (GGA-PBE)

Data for a geometry-optimized Sc6AlRu5 structure.

The structure in CIF format:
```
data_Sc6AlRu5
_cell_length_a 4.557
_cell_length_b 6.538
_cell_length_c 13.628
_cell_angle_alpha 90.00
_cell_angle_beta 90.00
_cell_angle_gamma 90.00
_symmetry_space_group_name_H-M 'I m m m'
_symmetry_Int_Tables_number 71
_symmetry_space_group_name_Hall '-I 2 2'
loop_
_atom_site_label
_atom_site_fract_x
_atom_site_fract_y
_atom_site_fract_z
Sc1 0.000 0.234 0.000
Sc2 0.000 0.258 0.328
Al1 0.000 0.000 0.500
Ru1 0.000 0.000 0.168
Ru2 0.000 0.500 0.160
Ru3 0.000 0.500 0.500
```

Properties
Total moment in μB/cell: 0.0
Calculated formation energy in eV/atom: -0.59
DOS at the Fermi energy in states/eV/atom: 0.374

***

No. 2
## ScOsRu2 (GGA-PBE)

Data for a geometry-optimized ScOsRu2 structure.

The structure in CIF format:
```
data_ScOsRu2
_cell_length_a 3.982
_cell_length_b 3.982
_cell_length_c 7.696
_cell_angle_alpha 90.00
_cell_angle_beta 90.00
_cell_angle_gamma 90.00
_symmetry_space_group_name_H-M 'I 4/m m m'
_symmetry_Int_Tables_number 139
_symmetry_space_group_name_Hall '-I 4 2'
loop_
_atom_site_label
_atom_site_fract_x
_atom_site_fract_y
_atom_site_fract_z
Sc1 0.000 0.000 0.000
Os1 0.000 0.000 0.500
Ru1 0.000 0.500 0.250
```

Properties
Total moment in μB/cell: 0.0
Calculated formation energy in eV/atom: 0.00
DOS at the Fermi energy in states/eV/atom: 1.615

***

No. 3
## Ti2BiPb2 (GGA-PBE)

Data for a geometry-optimized Ti2BiPb2 structure.

The structure in CIF format:
```
data_Ti2BiPb2
_cell_length_a 8.749
_cell_length_b 8.749
_cell_length_c 3.213
_cell_angle_alpha 90.00
_cell_angle_beta 90.00
_cell_angle_gamma 90.00
_symmetry_space_group_name_H-M 'P 4/m b m'
_symmetry_Int_Tables_number 127
_symmetry_space_group_name_Hall '-P 4 2ab'
loop_
_atom_site_label
_atom_site_fract_x
_atom_site_fract_y
_atom_site_fract_z
Ti1 0.116 0.384 0.000
Bi1 0.000 0.000 0.500
Pb1 0.173 0.673 0.500
```

Properties
Total moment in μB/cell: 0.5
Calculated formation energy in eV/atom: 0.23
DOS at the Fermi energy in states/eV/atom: 0.981

***

No. 4
## PaInTcMo (GGA-PBE)

Data for a geometry-optimized PaInTcMo structure.

The structure in CIF format:
```
data_PaInTcMo
_cell_length_a 6.721
_cell_length_b 6.721
_cell_length_c 6.721
_cell_angle_alpha 90.00
_cell_angle_beta 90.00
_cell_angle_gamma 90.00
_symmetry_space_group_name_H-M 'F -4 3 m'
_symmetry_Int_Tables_number 216
_symmetry_space_group_name_Hall 'F -4 2 3'
loop_
_atom_site_label
_atom_site_fract_x
_atom_site_fract_y
_atom_site_fract_z
Pa1 0.000 0.000 0.000
In1 0.000 0.000 0.500
Tc1 0.250 0.250 0.750
Mo1 0.250 0.250 0.250
```

Properties
Total moment in μB/cell: 0.0
Calculated formation energy in eV/atom: 0.07
DOS at the Fermi energy in states/eV/atom: 1.519

***

No. 5
## InH2Br (GGA-PBE)

Data for a geometry-optimized InH2Br structure.

The structure in CIF format:
```
data_InH2Br
_cell_length_a 5.458
_cell_length_b 9.566
_cell_length_c 8.395
_cell_angle_alpha 90.00
_cell_angle_beta 90.00
_cell_angle_gamma 90.00
_symmetry_space_group_name_H-M 'C m c m'
_symmetry_Int_Tables_number 63
_symmetry_space_group_name_Hall '-C 2c 2'
loop_
_atom_site_label
_atom_site_fract_x
_atom_site_fract_y
_atom_site_fract_z
In1 0.000 0.166 0.250
H1 0.000 0.167 0.705
Br1 0.000 0.499 0.750
```

Properties
Energy in Ry per atom: -0.2187
Total moment in μB/cell: 0.0
DOS at the Fermi energy in states/eV/atom: 0.000

***

No. 6
## NpPaB12 (GGA-PBE)

Data for a geometry-optimized NpPaB12 structure.

The structure in CIF format:
```
data_NpPaB12
_cell_length_a 4.077
_cell_length_b 4.077
_cell_length_c 8.154
_cell_angle_alpha 90.00
_cell_angle_beta 90.00
_cell_angle_gamma 90.00
_symmetry_space_group_name_H-M 'P 4/m m m'
_symmetry_Int_Tables_number 123
_symmetry_space_group_name_Hall '-P 4 2'
loop_
_atom_site_label
_atom_site_fract_x
_atom_site_fract_y
_atom_site_fract_z
Np1 0.000 0.000 0.000
Pa1 0.000 0.000 0.500
B1 0.197 0.500 0.251
B2 0.500 0.500 0.099
B3 0.500 0.500 0.401
```

Properties
Total moment in μB/cell: 3.0
Calculated formation energy in eV/atom: -0.33
DOS at the Fermi energy in states/eV/atom: 0.577